No. 1
First-principles (SCAN) data for Ta2CoB2 at its PBEsol-relaxed geometry, as listed in Alexandria.

```
Ta2CoB2
1.0
5.7015 0.0000 0.0000
0.0000 5.7015 0.0000
0.0000 0.0000 3.3604
Ta Co B
4 2 4
Direct
0.1802 0.3198 0.0000
0.3198 0.8198 0.0000
0.6802 0.1802 0.0000
0.8198 0.6802 0.0000
0.0000 0.0000 0.5000
0.5000 0.5000 0.5000
0.1133 0.6133 0.5000
0.3867 0.1133 0.5000
0.6133 0.8867 0.5000
0.8867 0.3867 0.5000
```

Space-group type ... No. 127
DFT formation energy ... -656 meV/atom

=====

No. 2
First-principles (SCAN) data for InGe2PH24C8 at its PBEsol-relaxed geometry, as listed in Alexandria.

```
InGe2PH24C8
1.0
9.3605 0.0000 0.0000
1.5445 9.6743 0.0000
4.3889 1.4766 8.7085
In Ge P H C
2 4 2 48 16
Direct
0.0342 0.0765 0.1463
0.9658 0.9235 0.8537
0.1772 0.6637 0.1360
0.2620 0.2429 0.6891
0.7380 0.7571 0.3109
0.8228 0.3363 0.8640
0.0201 0.1678 0.8818
0.9799 0.8322 0.1182
0.0050 0.4571 0.2920
0.0733 0.4584 0.0909
0.1159 0.6810 0.4115
0.1302 0.7456 0.6455
0.1667 0.3794 0.4878
0.1895 0.9194 0.5571
0.2060 0.3970 0.1812
0.2085 0.1976 0.4709
0.2343 0.4981 0.7302
0.2689 0.7939 0.2781
0.2719 0.8162 0.6826
0.2791 0.0670 0.2311
0.3163 0.6089 0.3139
0.3242 0.3833 0.8434
0.3282 0.1780 0.0490
0.3465 0.6582 0.8511
0.3560 0.9919 0.0599
0.3691 0.3097 0.3985
0.3963 0.9969 0.6600
0.4014 0.7971 0.9070
0.4286 0.0643 0.7986
0.4397 0.4346 0.6415
0.4590 0.8762 0.4024
0.4682 0.6197 0.9545
0.5318 0.3803 0.0455
0.5410 0.1238 0.5976
0.5603 0.5654 0.3585
0.5714 0.9357 0.2014
0.5986 0.2029 0.0930
0.6037 0.0031 0.3400
0.6309 0.6903 0.6015
0.6440 0.0081 0.9401
0.6535 0.3418 0.1489
0.6718 0.8220 0.9510
0.6758 0.6167 0.1566
0.6837 0.3911 0.6861
0.7209 0.9330 0.7689
0.7281 0.1838 0.3174
0.7311 0.2061 0.7219
0.7657 0.5019 0.2698
0.7915 0.8024 0.5291
0.7940 0.6030 0.8188
0.8105 0.0806 0.4429
0.8333 0.6206 0.5122
0.8698 0.2544 0.3545
0.8841 0.3190 0.5885
0.9267 0.5416 0.9091
0.9950 0.5429 0.7080
0.1079 0.4749 0.1789
0.1634 0.8413 0.6626
0.2243 0.6897 0.3022
0.2497 0.2871 0.4914
0.2781 0.0779 0.1179
0.3199 0.4073 0.7308
0.3678 0.6879 0.9417
0.4234 0.0905 0.6865
0.5766 0.9095 0.3135
0.6322 0.3121 0.0583
0.6801 0.5927 0.2692
0.7219 0.9221 0.8821
0.7503 0.7129 0.5086
0.7757 0.3103 0.6978
0.8366 0.1587 0.3374
0.8921 0.5251 0.8211
```

Total energy ... -501.4 eV/cell
Space-group type ... No. 2

=====

No. 3
First-principles (SCAN) data for SrNiH2F at its PBEsol-relaxed geometry, as listed in Alexandria.

```
SrNiH2F
1.0
4.4663 0.0000 0.0000
0.0000 4.4663 0.0000
0.0000 0.0000 4.4633
Sr Ni H F
1 1 2 1
Direct
0.0000 0.0000 0.0000
0.5000 0.5000 0.5000
0.0000 0.5000 0.0000
0.5000 0.0000 0.0000
0.0000 0.0000 0.5000
```

Total energy ... -49.9 eV/cell
Space-group type ... No. 123

=====

No. 4
First-principles (SCAN) data for Zn2CrAg at its PBEsol-relaxed geometry, as listed in Alexandria.

```
Zn2CrAg
1.0
3.0716 0.0000 0.0000
0.0000 3.0716 0.0000
0.0000 0.0000 6.0543
Zn Cr Ag
2 1 1
Direct
0.0000 0.0000 0.2361
0.0000 0.0000 0.7639
0.5000 0.5000 0.0000
0.5000 0.5000 0.5000
```

Space-group type ... No. 123
DFT formation energy ... 36 meV/atom